PmNdNiRh | PBE | relaxed

abc: 4.966 4.966 4.966
angles: 60.00 60.00 60.00
Element x y z (fractional)
Pm 0.000 0.000 0.000
Nd 0.500 0.500 0.500
Ni 0.250 0.250 0.250
Rh 0.750 0.750 0.750

## Properties
As for the density of states at the Fermi level: 2.83 states/eV/f.u. The energy of formation from the pure elements comes out at -460 meV per atom. Its relative energy among the computed polymorphs is 0.0698 eV per atom. Its crystal system is cubic. As for the density: 8.647 Mg/m³. The total energy comes out at -6.123 eV/atom. As for the spin magnetization: 0.0000 μB per atom.